Density functional theory data (PBE-GGA) for a geometry-optimized ZnNi2Sb structure.

## Properties
Crystal system: tetragonal
Final energy: -4.047 eV/atom
Size of the total moment: 0.00 Bohr magnetons per cell

a = 6.8227 Å, b = 6.8227 Å, c = 5.4079 Å
α = 90.00°, β = 90.00°, γ = 90.00°
Last column: nearest neighbours and their distance in Å.
Space group I-42d (No. 122)
Symmetry-distinct sites (fractional):
Zn: 0.0000 0.0000 0.0000 (multiplicity 4)  4 Ni 2.43, 2 Sb 2.70
Ni: 0.2335 0.2500 0.1250 (multiplicity 8)  2 Zn 2.43, 2 Sb 2.58, 2 Ni 2.71
Sb: 0.0000 0.0000 0.5000 (multiplicity 4)  4 Ni 2.58, 2 Zn 2.70

***

Density functional theory data (PBE-GGA) for a geometry-optimized Nb3Pd4Au2 structure.

## Properties
Crystal system: triclinic
Final energy: -6.671 eV/atom
ΔH_f (0 K): -0.278 eV per atom
Size of the total moment: 0.00 Bohr magnetons per cell

a = 4.9728 Å, b = 7.3408 Å, c = 8.8622 Å
α = 106.02°, β = 105.43°, γ = 91.06°
Last column: nearest neighbours and their distance in Å.
Space group P-1 (No. 2)
Symmetry-distinct sites (fractional):
Nb: 0.0608 0.3069 0.4414 (multiplicity 2)  6 Pd 2.80-2.93, 2 Nb 2.83-2.87, 4 Au 2.84-2.92
Nb: 0.2716 0.0159 0.2330 (multiplicity 2)  6 Pd 2.74-2.96, 2 Nb 2.80-2.83, 4 Au 2.89-2.98
Nb: 0.3927 0.6431 0.1062 (multiplicity 2)  2 Nb 2.80-2.84, 8 Pd 2.82-2.96, 2 Au 2.84
Pd: 0.0511 0.4673 0.7809 (multiplicity 2)  4 Pd 2.81-2.85, 5 Nb 2.84-2.93, 3 Au 2.85-2.93
Pd: 0.1615 0.2484 0.0019 (multiplicity 2)  3 Pd 2.81-2.93, 5 Nb 2.82-2.96, 4 Au 2.83-2.93
Pd: 0.1704 0.0896 0.6619 (multiplicity 2)  5 Nb 2.78-2.91, 6 Pd 2.82-2.93, 1 Au 2.85
Pd: 0.3840 0.8046 0.4494 (multiplicity 2)  5 Nb 2.74-2.96, 5 Pd 2.83-2.88, 2 Au 2.86
Au: 0.2770 0.8672 0.8853 (multiplicity 2)  5 Pd 2.83-2.93, 5 Nb 2.84-2.98, 2 Au 2.85-2.87
Au: 0.5003 0.4199 0.3275 (multiplicity 2)  5 Nb 2.84-2.96, 5 Pd 2.84-2.87, 2 Au 2.87-2.96

***

Density functional theory data (PBE-GGA) for a geometry-optimized Sr2CuIr structure.

## Properties
Crystal system: cubic
Final energy: -3.825 eV/atom
ΔH_f (0 K): 0.255 eV per atom
Size of the total moment: 0.00 Bohr magnetons per cell

a = 7.1514 Å, b = 7.1514 Å, c = 7.1514 Å
α = 90.00°, β = 90.00°, γ = 90.00°
Last column: nearest neighbours and their distance in Å.
Space group F-43m (No. 216)
Symmetry-distinct sites (fractional):
Sr: 0.0000 0.0000 0.0000 (multiplicity 4)  4 Sr 3.10, 4 Cu 3.10
Sr: 0.2500 0.2500 0.2500 (multiplicity 4)  4 Ir 3.10, 4 Sr 3.10
Cu: 0.2500 0.2500 0.7500 (multiplicity 4)  4 Ir 3.10, 4 Sr 3.10
Ir: 0.0000 0.0000 0.5000 (multiplicity 4)  4 Cu 3.10, 4 Sr 3.10

***

Density functional theory data (PBE-GGA) for a geometry-optimized Ac4Mg5Sn6 structure.

## Properties
Crystal system: orthorhombic
Final energy: -3.788 eV/atom
ΔH_f (0 K): -0.559 eV per atom
Size of the total moment: 0.00 Bohr magnetons per cell

a = 4.8952 Å, b = 21.5805 Å, c = 17.5262 Å
α = 90.00°, β = 90.00°, γ = 90.00°
Last column: nearest neighbours and their distance in Å.
Space group Cmc2_1 (No. 36)
Symmetry-distinct sites (fractional):
Ac: 0.0000 0.0168 0.0000 (multiplicity 4)  7 Sn 3.49-3.68, 3 Mg 3.68-3.78
Ac: 0.0000 0.0329 0.2630 (multiplicity 4)  6 Sn 3.50-3.55, 5 Mg 3.53-3.64
Ac: 0.0000 0.1670 0.8023 (multiplicity 4)  6 Sn 3.40-3.48
Ac: 0.0000 0.1765 0.4443 (multiplicity 4)  6 Sn 3.36-3.43
Mg: 0.0000 0.1535 0.1254 (multiplicity 4)  4 Sn 2.88-3.03, 1 Mg 3.20
Mg: 0.0000 0.3016 0.1220 (multiplicity 4)  4 Sn 2.94-3.07, 2 Mg 3.10-3.20
Mg: 0.0000 0.3426 0.7663 (multiplicity 4)  4 Sn 2.88-3.06
Mg: 0.0000 0.3506 0.4841 (multiplicity 4)  4 Sn 2.90-3.04
Mg: 0.0000 0.4383 0.1760 (multiplicity 4)  4 Sn 2.86-3.09, 1 Mg 3.10
Sn: 0.0000 0.1127 0.6196 (multiplicity 4)  4 Mg 2.86-3.07
Sn: 0.0000 0.2216 0.9842 (multiplicity 4)  4 Mg 2.88-2.97
Sn: 0.0000 0.2281 0.2631 (multiplicity 4)  4 Mg 2.88-2.94
Sn: 0.0000 0.4293 0.6282 (multiplicity 4)  5 Mg 2.98-3.06
Sn: 0.0000 0.4299 0.9028 (multiplicity 4)  1 Sn 2.94, 1 Mg 3.05
Sn: 0.0000 0.4403 0.3525 (multiplicity 4)  1 Sn 2.94, 2 Mg 3.01-3.09

***

Density functional theory data (PBE-GGA) for a geometry-optimized Hf2ZnPt structure.

## Properties
Crystal system: trigonal
Final energy: -7.147 eV/atom
ΔH_f (0 K): -0.341 eV per atom
Size of the total moment: 0.00 Bohr magnetons per cell

a = 3.4375 Å, b = 3.4375 Å, c = 23.5494 Å
α = 90.00°, β = 90.00°, γ = 120.00°
Last column: nearest neighbours and their distance in Å.
Space group R-3m (No. 166, hexagonal axes)
Symmetry-distinct sites (fractional):
Hf: 0.0000 0.0000 0.2460 (multiplicity 6)  3 Pt 2.73, 3 Zn 2.86
Zn: 0.0000 0.0000 0.0000 (multiplicity 3)  6 Hf 2.86
Pt: 0.0000 0.0000 0.5000 (multiplicity 3)  6 Hf 2.73

***

Density functional theory data (PBE-GGA) for a geometry-optimized AcNd3O6 structure.

## Properties
Crystal system: monoclinic
Final energy: -8.051 eV/atom
Size of the total moment: 0.00 Bohr magnetons per cell

a = 6.1233 Å, b = 6.3657 Å, c = 10.8262 Å
α = 90.00°, β = 124.11°, γ = 90.00°
Last column: nearest neighbours and their distance in Å.
Space group P2_1/c (No. 14)
Symmetry-distinct sites (fractional):
Ac: 0.0000 0.0000 0.0000 (multiplicity 2)  6 O 2.42-2.65
Nd: 0.2213 0.0373 0.7230 (multiplicity 4)  4 O 2.30-2.47
Nd: 0.5000 0.0000 0.5000 (multiplicity 2)  6 O 2.33-2.46
O: 0.1238 0.1569 0.4627 (multiplicity 4)  2 Nd 2.30-2.33, 1 Ac 2.42
O: 0.2017 0.6978 0.3860 (multiplicity 4)  2 Nd 2.37-2.46, 1 Ac 2.52
O: 0.4188 0.1102 0.2639 (multiplicity 4)  3 Nd 2.33-2.47

***

Density functional theory data (PBE-GGA) for a geometry-optimized La2Tb3Dy4 structure.

## Properties
Crystal system: orthorhombic
Final energy: -4.503 eV/atom
ΔH_f (0 K): 0.181 eV per atom
Size of the total moment: 0.00 Bohr magnetons per cell

a = 6.1507 Å, b = 12.4471 Å, c = 15.9347 Å
α = 90.00°, β = 90.00°, γ = 90.00°
Last column: nearest neighbours and their distance in Å.
Space group Fmmm (No. 69)
Symmetry-distinct sites (fractional):
La: 0.0000 0.0000 0.1148 (multiplicity 8)  6 Tb 3.58-3.92, 6 Dy 3.62-3.75, 1 La 3.66
Tb: 0.0000 0.0000 0.5000 (multiplicity 4)  4 Tb 3.47, 4 Dy 3.49, 4 La 3.58
Tb: 0.2500 0.2500 0.0000 (multiplicity 8)  2 Tb 3.08
Dy: 0.0000 0.1441 0.3120 (multiplicity 16)  4 Dy 3.30-3.66, 3 Tb 3.49-3.62, 1 La 3.62